Here is a relaxed structure of MoOsIO2 from Alexandria. Energies are from PBE with a Hubbard U.

The calculation puts the magnetic moment at 3.32 μB/f.u. The total DFT energy (no corrections) is -5.713 eV/atom. The crystal system is tetragonal.

The structure belongs to space group P4/mmm (No. 123); the cell edges are 3.849, 3.849 and 7.806 Å and the angles 90.00°, 90.00° and 90.00°. The distinct sites, in fractional coordinates, are Mo at (0.000, 0.000, 0.000), Os at (0.500, 0.500, 0.500), I at (0.000, 0.000, 0.500) and O at (0.000, 0.500, 0.000).